Computed, not measured: a crystal of CdNiHg2 relaxed with PBEsol at the meta-GGA SCAN level of DFT.

DFT total energy (eV/f.u.): -182.636
Formation energy from the elements (eV/atom): 0.071
M_tot (μB per formula unit): 0.00
Fermi-level density of states (states/eV per cell): 1.98
Space-group type: Imm2

a b c (Å): 6.586 6.586 6.586
angles (deg): 154.50 141.06 47.12
Positions (direct):
Cd  0.000  0.000  0.000
Ni  0.814  0.314  0.500
Hg  0.317  0.817  0.500
Hg  0.627  0.627  0.000


Computed, not measured: a crystal of Cd2NiHg relaxed with PBEsol at the meta-GGA SCAN level of DFT.

DFT total energy (eV/f.u.): -144.888
Formation energy from the elements (eV/atom): 0.070
M_tot (μB per formula unit): 0.00
Fermi-level density of states (states/eV per cell): 1.55
Space-group type: P4/mmm

a b c (Å): 3.035 3.035 7.737
angles (deg): 90.00 90.00 90.00
Positions (direct):
Cd  0.000  0.000  0.206
Cd  0.000  0.000  0.794
Ni  0.500  0.500  0.000
Hg  0.500  0.500  0.500


Computed, not measured: a crystal of Cd2NiHg relaxed with PBEsol at the meta-GGA SCAN level of DFT.

DFT total energy (eV/f.u.): -144.966
Formation energy from the elements (eV/atom): 0.050
M_tot (μB per formula unit): 0.00
Fermi-level density of states (states/eV per cell): 1.94
Space-group type: Immm

a b c (Å): 6.539 6.539 6.539
angles (deg): 154.36 140.85 47.38
Positions (direct):
Cd  0.187  0.187  0.000
Cd  0.813  0.813  0.000
Ni  0.000  0.500  0.500
Hg  0.500  0.000  0.500


Computed, not measured: a crystal of Rb2CdHgO relaxed with PBEsol at the meta-GGA SCAN level of DFT.

DFT total energy (eV/f.u.): -147.062
M_tot (μB per formula unit): 0.00
Formation energy (no corrections) (meV/atom): -154
Fermi-level density of states (states/eV per cell): 3.07
Space-group type: P4/mmm

a b c (Å): 6.759 6.759 4.249
angles (deg): 90.00 90.00 90.00
Positions (direct):
Rb  0.000  0.500  0.000
Rb  0.500  0.000  0.000
Cd  0.000  0.000  0.500
Hg  0.500  0.500  0.000
O  0.500  0.500  0.500


Computed, not measured: a crystal of CdHg2SO6 relaxed with PBEsol at the meta-GGA SCAN level of DFT.

DFT total energy (eV/f.u.): -224.931
M_tot (μB per formula unit): 0.00
Formation energy (no corrections) (meV/atom): -1117
Fermi-level density of states (states/eV per cell): 0.00
Space-group type: P-1

a b c (Å): 6.805 7.191 7.344
angles (deg): 73.75 67.29 63.58
Positions (direct):
Cd  0.168  0.371  0.277
Cd  0.832  0.629  0.723
Hg  0.154  0.866  0.284
Hg  0.347  0.139  0.716
Hg  0.653  0.861  0.284
Hg  0.846  0.134  0.716
S  0.295  0.637  0.804
S  0.705  0.363  0.196
O  0.054  0.300  0.635
O  0.154  0.687  0.670
O  0.203  0.812  0.918
O  0.290  0.439  0.938
O  0.349  0.033  0.228
O  0.463  0.399  0.327
O  0.537  0.601  0.673
O  0.651  0.967  0.772
O  0.710  0.561  0.062
O  0.797  0.188  0.082
O  0.846  0.313  0.330
O  0.946  0.700  0.365


Computed, not measured: a crystal of SrCdHgO2 relaxed with PBEsol at the meta-GGA SCAN level of DFT.

DFT total energy (eV/f.u.): -136.747
M_tot (μB per formula unit): 0.00
Formation energy (no corrections) (meV/atom): -686
Fermi-level density of states (states/eV per cell): 0.86
Space-group type: P4/mmm

a b c (Å): 4.467 4.467 5.052
angles (deg): 90.00 90.00 90.00
Positions (direct):
Sr  0.000  0.000  0.000
Cd  0.500  0.500  0.500
Hg  0.500  0.500  0.000
O  0.000  0.500  0.500
O  0.500  0.000  0.500